{"formula": "NaTaSn3", "functional": "PBE", "state": "relaxed", "volume_a3_per_cell": 159, "formation_energy_ev_per_atom": 0.16, "crystal_system": "cubic", "cell": [[5.4204, 0.0000, 0.0000], [0.0000, 5.4204, 0.0000], [0.0000, 0.0000, 5.4204]], "species": ["Sn", "Sn", "Sn", "Na", "Ta"], "fractional_positions": [[0.0000, 0.0000, 0.5000], [0.5000, 0.0000, 0.0000], [0.0000, 0.5000, 0.0000], [0.5000, 0.5000, 0.5000], [0.0000, 0.0000, 0.0000]]}